A plane-wave DFT calculation with GGA-PBE was carried out for a geometry-optimized TbTc6Ge8 structure.

Computed properties:
Total moment ... 0.000 μB/cell
ΔE_f ... -0.02 eV/atom
Electronic total energy ... -6.938 eV/atom
N(E_F) ... 29.2 states/eV per cell

```
data_TbTc6Ge8
_chemical_formula_sum 'Tb3 Tc18 Ge24'
_cell_length_a 8.7412
_cell_length_b 8.7412
_cell_length_c 12.4424
_cell_angle_alpha 90.00
_cell_angle_beta 90.00
_cell_angle_gamma 120.00
_symmetry_space_group_name_H-M 'R -3'
_symmetry_Int_Tables_number 148
_symmetry_space_group_name_Hall '-R 3'
loop_
_atom_site_label
_atom_site_type_symbol
_atom_site_fract_x
_atom_site_fract_y
_atom_site_fract_z
Tb1 Tb 0.0000 0.0000 0.0000
Tc1 Tc 0.0054 0.8268 0.4067
Ge1 Ge 0.0000 0.0000 0.2365
Ge2 Ge 0.0017 0.6546 0.5690
```


A plane-wave DFT calculation with GGA-PBE was carried out for a geometry-optimized Pm3Dy2TmSb6 structure.

Computed properties:
Total moment ... 0.000 μB/cell
Electronic total energy ... -5.535 eV/atom
N(E_F) ... 3.8 states/eV per cell
Formation energy without anion corrections ... -1.147 eV per atom

```
data_Pm3Dy2TmSb6
_chemical_formula_sum 'Pm6 Dy4 Tm2 Sb12'
_cell_length_a 19.305
_cell_length_b 4.433
_cell_length_c 8.856
_cell_angle_alpha 90.00
_cell_angle_beta 103.17
_cell_angle_gamma 90.00
_symmetry_space_group_name_H-M 'C 1 2/m 1'
_symmetry_Int_Tables_number 12
_symmetry_space_group_name_Hall '-C 2y'
loop_
_atom_site_label
_atom_site_type_symbol
_atom_site_fract_x
_atom_site_fract_y
_atom_site_fract_z
Pm1 Pm 0.000 0.000 0.000
Pm2 Pm 0.167 0.500 0.334
Dy1 Dy 0.166 0.500 0.833
Tm1 Tm 0.000 0.000 0.500
Sb1 Sb 0.001 0.500 0.744
Sb2 Sb 0.164 0.000 0.587
Sb3 Sb 0.168 0.000 0.079
```


What is the formula in the second record?
Pm3Dy2TmSb6